[1]
LiDy2MgHg4: optimized geometry, GGA-PBE. Values from VASP.

Geometry as Quantum ESPRESSO input:
```
&SYSTEM
  ibrav = 0, nat = 8, ntyp = 4
/
ATOMIC_SPECIES
Dy 162.50 Dy.upf
Hg 200.59 Hg.upf
Li 6.94 Li.upf
Mg 24.30 Mg.upf
ATOMIC_POSITIONS angstrom
Dy 2.521 1.456 2.039
Dy 7.563 4.367 6.196
Hg 5.042 2.911 1.096
Hg 5.042 2.911 7.139
Hg 7.563 4.367 3.135
Hg 2.521 1.456 5.100
Li 5.042 2.911 4.118
Mg 0.000 0.000 0.000
CELL_PARAMETERS angstrom
5.042 0.000 0.000
2.521 4.367 0.000
2.521 1.456 8.235
```

As for the formation energy: -0.458 eV per atom. The value obtained for the total magnetization is 0.00 μB per formula unit. For the uncorrected energy, the calculation gives -17.6 eV for the cell shown.

=====

[2]
LiDyMg2Hg4: optimized geometry, GGA-PBE. Values from VASP.

Geometry as Quantum ESPRESSO input:
```
&SYSTEM
  ibrav = 0, nat = 8, ntyp = 4
/
ATOMIC_SPECIES
Hg 200.59 Hg.upf
Mg 24.30 Mg.upf
Li 6.94 Li.upf
Dy 162.50 Dy.upf
ATOMIC_POSITIONS angstrom
Hg 7.345 4.241 3.231
Hg 2.448 1.414 5.146
Hg 4.897 2.827 1.244
Hg 4.897 2.827 7.133
Mg 7.345 4.241 6.210
Mg 2.448 1.414 2.167
Li 4.897 2.827 4.189
Dy 0.000 0.000 0.000
CELL_PARAMETERS angstrom
4.897 0.000 0.000
2.448 4.241 0.000
2.448 1.414 8.377
```

As for the formation energy: -0.362 eV per atom. The value obtained for the total magnetization is 0.00 μB per formula unit. For the uncorrected energy, the calculation gives -13.8 eV for the cell shown.

=====

[3]
Li2DyMgHg4: optimized geometry, GGA-PBE. Values from VASP.

Geometry as Quantum ESPRESSO input:
```
&SYSTEM
  ibrav = 0, nat = 8, ntyp = 4
/
ATOMIC_SPECIES
Li 6.94 Li.upf
Dy 162.50 Dy.upf
Hg 200.59 Hg.upf
Mg 24.30 Mg.upf
ATOMIC_POSITIONS angstrom
Li 2.393 1.382 2.395
Li 7.180 4.146 6.230
Dy 0.000 0.000 0.000
Hg 7.180 4.146 3.189
Hg 4.787 2.764 7.276
Hg 4.787 2.764 1.349
Hg 2.393 1.382 5.437
Mg 4.787 2.764 4.313
CELL_PARAMETERS angstrom
4.787 0.000 0.000
2.393 4.146 0.000
2.393 1.382 8.626
```

As for the formation energy: -0.355 eV per atom. The value obtained for the total magnetization is 0.00 μB per formula unit. For the uncorrected energy, the calculation gives -14.1 eV for the cell shown.

=====

[4]
LiNd2DyHg4: optimized geometry, GGA-PBE. Values from VASP.

Geometry as Quantum ESPRESSO input:
```
&SYSTEM
  ibrav = 0, nat = 8, ntyp = 4
/
ATOMIC_SPECIES
Li 6.94 Li.upf
Dy 162.50 Dy.upf
Nd 144.24 Nd.upf
Hg 200.59 Hg.upf
ATOMIC_POSITIONS angstrom
Li 5.249 3.031 4.341
Dy 0.000 0.000 0.000
Nd 2.625 1.515 2.287
Nd 7.874 4.546 6.394
Hg 5.249 3.031 7.623
Hg 2.625 1.515 5.425
Hg 7.874 4.546 3.256
Hg 5.249 3.031 1.058
CELL_PARAMETERS angstrom
5.249 0.000 0.000
2.625 4.546 0.000
2.625 1.515 8.681
```

As for the formation energy: -0.454 eV per atom. The value obtained for the total magnetization is 0.00 μB per formula unit. For the uncorrected energy, the calculation gives -20.9 eV for the cell shown.

=====

[5]
LiPmDy2Hg4: optimized geometry, GGA-PBE. Values from VASP.

Geometry as Quantum ESPRESSO input:
```
&SYSTEM
  ibrav = 0, nat = 8, ntyp = 4
/
ATOMIC_SPECIES
Hg 200.59 Hg.upf
Dy 162.50 Dy.upf
Pm 145.00 Pm.upf
Li 6.94 Li.upf
ATOMIC_POSITIONS angstrom
Hg -0.111 -4.792 -3.720
Hg -1.420 -7.725 -5.332
Hg -5.680 -7.179 -2.618
Hg -4.371 -4.246 -1.006
Dy -1.603 -3.059 -1.554
Dy -4.188 -8.911 -4.784
Pm 0.000 0.000 0.000
Li -2.896 -5.985 -3.169
CELL_PARAMETERS angstrom
-0.202 -1.753 -4.821
1.789 -4.683 -1.106
-7.378 -5.535 -0.412
```

As for the formation energy: -0.446 eV per atom. The value obtained for the total magnetization is 0.00 μB per formula unit. For the uncorrected energy, the calculation gives -20.6 eV for the cell shown.

=====

[6]
LiPm2DyHg4: optimized geometry, GGA-PBE. Values from VASP.

Geometry as Quantum ESPRESSO input:
```
&SYSTEM
  ibrav = 0, nat = 8, ntyp = 4
/
ATOMIC_SPECIES
Pm 145.00 Pm.upf
Hg 200.59 Hg.upf
Dy 162.50 Dy.upf
Li 6.94 Li.upf
ATOMIC_POSITIONS angstrom
Pm 0.097 7.824 7.826
Pm 0.136 2.720 2.620
Hg -2.082 2.894 4.990
Hg -2.014 5.540 7.602
Hg 2.316 7.650 5.456
Hg 2.248 5.004 2.844
Dy 0.000 0.000 0.000
Li 0.117 5.272 5.223
CELL_PARAMETERS angstrom
-3.596 3.111 2.176
-0.612 0.056 5.193
4.441 7.377 3.076
```

As for the formation energy: -0.457 eV per atom. The value obtained for the total magnetization is 0.00 μB per formula unit. For the uncorrected energy, the calculation gives -20.9 eV for the cell shown.